# 1
VASP calculation (PBE-GGA) on an optimized crystal structure of Ac2HgPt.

Output
ΔE_f ... -0.702 eV per atom
DOS(E_F) ... 0.768 states/eV per atom
Total magnetic moment ... 0.000 μB/f.u.

Unit cell a=5.527 b=5.527 c=5.527 alpha=60.00 beta=60.00 gamma=60.00
Fractional positions:
Ac1 0.250 0.250 0.250
Ac2 0.750 0.750 0.750
Hg1 0.000 0.000 0.000
Pt1 0.500 0.500 0.500

=====

# 2
VASP calculation (PBE-GGA) on an optimized crystal structure of MgMnCd2.

Output
ΔE_f ... 0.152 eV per atom
DOS(E_F) ... 0.597 states/eV per atom
Total magnetic moment ... 3.666 μB/f.u.

Unit cell a=5.110 b=5.110 c=5.336 alpha=79.50 beta=79.50 gamma=35.35
Fractional positions:
Mg1 0.750 0.750 0.750
Cd1 0.994 0.994 0.010
Mn1 0.250 0.250 0.250
Cd2 0.506 0.506 0.490

=====

# 3
VASP calculation (PBE-GGA) on an optimized crystal structure of HgSb2Rh2.

Output
Energy relative to the elements, uncorrected ... -0.14 eV/atom
DOS(E_F) ... 0.634 states/eV per atom
Total magnetic moment ... 0.000 μB/f.u.

Unit cell a=7.755 b=7.755 c=3.307 alpha=90.00 beta=90.00 gamma=90.00
Fractional positions:
Sb1 0.349 0.151 0.500
Hg1 0.000 0.000 0.000
Hg2 0.500 0.500 0.000
Sb2 0.849 0.349 0.500
Sb3 0.651 0.849 0.500
Rh1 0.864 0.636 0.000
Sb4 0.151 0.651 0.500
Rh2 0.364 0.864 0.000
Rh3 0.136 0.364 0.000
Rh4 0.636 0.136 0.000

=====

# 4
VASP calculation (PBE-GGA) on an optimized crystal structure of CoNi2C.

Output
ΔE_f ... 0.387 eV per atom
DOS(E_F) ... 0.758 states/eV per atom
Total magnetic moment ... 1.070 μB/f.u.

Unit cell a=6.357 b=6.357 c=4.926 alpha=49.82 beta=49.82 gamma=90.00
Fractional positions:
C1 0.250 0.750 0.500
Ni1 0.375 0.484 0.750
Co1 0.750 0.250 0.500
Ni2 0.875 0.766 0.750
C2 0.500 0.500 0.000
Ni3 0.234 0.625 0.250
Co2 0.000 0.000 0.000
Ni4 0.516 0.125 0.250

=====

# 5
VASP calculation (PBE-GGA) on an optimized crystal structure of CdSi2Tc.

Output
Energy relative to the elements, uncorrected ... 0.08 eV/atom
DOS(E_F) ... 0.375 states/eV per atom
Total magnetic moment ... 0.069 μB/f.u.

Unit cell a=6.859 b=6.859 c=4.044 alpha=72.89 beta=72.89 gamma=23.35
Fractional positions:
Tc1 0.487 0.487 0.514
Si1 0.820 0.820 0.680
Cd1 0.193 0.193 0.306
Si2 0.000 0.000 0.001

=====

# 6
VASP calculation (PBE-GGA) on an optimized crystal structure of Dy8Tm6In.

Output
ΔE_f ... 0.030 eV per atom
DOS(E_F) ... 1.314 states/eV per atom
Total magnetic moment ... 0.000 μB/f.u.

Unit cell a=8.889 b=8.889 c=8.435 alpha=58.20 beta=58.20 gamma=60.00
Fractional positions:
Tm1 0.451 0.896 0.889
Dy1 0.248 0.286 0.574
Dy2 0.286 0.892 0.574
Dy3 0.424 0.424 0.728
Tm2 0.235 0.549 0.111
Dy4 0.892 0.248 0.574
Tm3 0.896 0.765 0.889
Dy5 0.576 0.576 0.272
Tm4 0.549 0.104 0.111
Dy6 0.752 0.714 0.426
Tm5 0.104 0.235 0.111
Tm6 0.765 0.451 0.889
Dy7 0.108 0.752 0.426
Dy8 0.714 0.108 0.426
In1 0.000 0.000 0.000

=====

# 7
VASP calculation (PBE-GGA) on an optimized crystal structure of La6PmHg2.

Output
ΔE_f ... -0.164 eV per atom
DOS(E_F) ... 1.417 states/eV per atom
Total magnetic moment ... 0.000 μB/f.u.

Unit cell a=6.122 b=10.046 c=10.046 alpha=71.57 beta=82.94 gamma=82.94
Fractional positions:
La1 0.843 0.637 0.886
La2 0.808 0.003 0.764
Pm1 0.250 0.138 0.862
Hg1 0.595 0.480 0.207
Hg2 0.405 0.520 0.793
La3 0.192 0.997 0.236
La4 0.473 0.676 0.439
Hg3 0.905 0.793 0.520
La5 0.973 0.439 0.676
La6 0.308 0.764 0.003
La7 0.657 0.114 0.363
Pm2 0.750 0.862 0.138
La8 0.343 0.886 0.637
La9 0.157 0.363 0.114
La10 0.692 0.236 0.997
La11 0.527 0.324 0.561
La12 0.027 0.561 0.324
Hg4 0.095 0.207 0.480

=====

# 8
VASP calculation (PBE-GGA) on an optimized crystal structure of Sc3AuN.

Output
Energy relative to the elements, uncorrected ... -0.57 eV/atom
DOS(E_F) ... 0.530 states/eV per atom
Total magnetic moment ... 1.013 μB/f.u.

Unit cell a=6.071 b=6.071 c=6.973 alpha=64.20 beta=64.20 gamma=90.00
Fractional positions:
Sc1 0.114 0.368 0.772
Au1 0.618 0.118 0.764
Sc2 0.369 0.369 0.261
Au2 0.882 0.382 0.236
Sc3 0.631 0.631 0.739
Sc4 0.114 0.860 0.772
Sc5 0.632 0.886 0.228
N1 0.250 0.750 0.500
N2 0.000 0.000 0.000
Sc6 0.140 0.886 0.228

=====

# 9
VASP calculation (PBE-GGA) on an optimized crystal structure of AlH3O3.

Output
DOS(E_F) ... 0.000 states/eV per atom
Total magnetic moment ... 0.000 μB/f.u.

Unit cell a=5.117 b=5.145 c=5.115 alpha=66.37 beta=70.13 gamma=61.21
Fractional positions:
O1 0.953 0.308 0.234
O2 0.410 0.072 0.782
H1 0.797 0.381 0.613
O3 0.047 0.692 0.766
H2 0.203 0.619 0.387
H3 0.071 0.876 0.747
H4 0.448 0.171 0.573
Al1 0.669 0.672 0.994
O4 0.590 0.928 0.218
O5 0.346 0.542 0.223
Al2 0.331 0.328 0.006
O6 0.654 0.458 0.777
H5 0.552 0.829 0.427
H6 0.929 0.124 0.253

=====

# 10
VASP calculation (PBE-GGA) on an optimized crystal structure of KAsW.

Output
ΔE_f ... 1.380 eV per atom
DOS(E_F) ... 0.823 states/eV per atom
Total magnetic moment ... 2.948 μB/f.u.

Unit cell a=4.749 b=4.749 c=4.749 alpha=60.00 beta=60.00 gamma=60.00
Fractional positions:
K1 0.000 0.000 0.000
As1 0.750 0.750 0.750
W1 0.500 0.500 0.500

=====

# 11
VASP calculation (PBE-GGA) on an optimized crystal structure of Mg3Zr5.

Output
ΔE_f ... 0.197 eV per atom
DOS(E_F) ... 1.293 states/eV per atom
Total magnetic moment ... 2.651 μB/f.u.

Unit cell a=8.642 b=8.642 c=8.639 alpha=95.57 beta=95.57 gamma=143.71
Fractional positions:
Mg1 0.250 0.250 0.000
Zr1 0.229 0.077 0.306
Zr2 0.924 0.229 0.152
Zr3 0.772 0.923 0.695
Mg2 0.669 0.169 0.838
Zr4 0.577 0.729 0.306
Zr5 0.423 0.272 0.695
Zr6 0.077 0.772 0.849
Zr7 0.250 0.750 0.500
Mg3 0.832 0.669 0.500
Mg4 0.332 0.832 0.163
Mg5 0.169 0.332 0.500
Zr8 0.272 0.577 0.849
Zr9 0.729 0.424 0.152
Zr10 0.751 0.251 0.501
Mg6 0.750 0.750 0.000

=====

# 12
VASP calculation (PBE-GGA) on an optimized crystal structure of Sr2InGa4Pt3.

Output
ΔE_f ... -0.742 eV per atom
DOS(E_F) ... 0.455 states/eV per atom
Total magnetic moment ... 0.000 μB/f.u.

Unit cell a=4.382 b=4.382 c=11.028 alpha=90.00 beta=90.00 gamma=90.00
Fractional positions:
Sr1 0.000 0.500 0.758
Pt1 0.500 0.000 0.877
Ga1 0.000 0.000 0.000
Pt2 0.000 0.000 0.500
In1 0.500 0.500 0.500
Pt3 0.000 0.500 0.123
Ga2 0.500 0.000 0.646
Ga3 0.500 0.500 0.000
Ga4 0.000 0.500 0.354
Sr2 0.500 0.000 0.242

=====

# 13
VASP calculation (PBE-GGA) on an optimized crystal structure of LiAl2Mo.

Output
ΔE_f ... -0.113 eV per atom
DOS(E_F) ... 0.463 states/eV per atom
Total magnetic moment ... 0.000 μB/f.u.

Unit cell a=5.147 b=5.147 c=4.675 alpha=70.81 beta=70.81 gamma=31.70
Fractional positions:
Al1 0.000 0.000 0.076
Al2 0.746 0.746 0.685
Li1 0.497 0.497 0.562
Mo1 0.257 0.257 0.177

=====

# 14
VASP calculation (PBE-GGA) on an optimized crystal structure of Cs3RbAg2Br6.

Output
Energy relative to the elements, uncorrected ... -1.22 eV/atom
DOS(E_F) ... 0.000 states/eV per atom
Total magnetic moment ... 0.000 μB/f.u.

Unit cell a=8.831 b=8.831 c=9.559 alpha=90.00 beta=90.00 gamma=120.00
Fractional positions:
Ag1 0.667 0.333 0.758
Cs1 0.000 0.000 0.000
Br1 0.165 0.330 0.276
Br2 0.670 0.835 0.276
Rb1 0.000 0.000 0.500
Cs2 0.667 0.333 0.364
Ag2 0.333 0.667 0.242
Br3 0.835 0.165 0.724
Br4 0.330 0.165 0.724
Cs3 0.333 0.667 0.636
Br5 0.165 0.835 0.276
Br6 0.835 0.670 0.724

=====

# 15
VASP calculation (PBE-GGA) on an optimized crystal structure of YPuHg.

Output
ΔE_f ... 0.087 eV per atom
DOS(E_F) ... 1.355 states/eV per atom
Total magnetic moment ... 0.000 μB/f.u.

Unit cell a=3.346 b=3.371 c=12.864 alpha=90.00 beta=97.47 gamma=90.00
Fractional positions:
Hg1 0.548 0.750 0.097
Hg2 0.452 0.250 0.903
Pu1 0.237 0.750 0.474
Pu2 0.763 0.250 0.526
Y1 0.132 0.250 0.264
Y2 0.868 0.750 0.736

=====

# 16
VASP calculation (PBE-GGA) on an optimized crystal structure of Mg2ReGe.

Output
ΔE_f ... 0.660 eV per atom
DOS(E_F) ... 0.566 states/eV per atom
Total magnetic moment ... 0.824 μB/f.u.

Unit cell a=7.583 b=7.583 c=5.944 alpha=50.37 beta=50.37 gamma=90.00
Fractional positions:
Re1 0.750 0.250 0.500
Mg1 0.875 0.870 0.750
Ge1 0.500 0.500 0.000
Re2 0.000 0.000 0.000
Mg2 0.375 0.380 0.750
Ge2 0.250 0.750 0.500
Mg3 0.620 0.125 0.250
Mg4 0.130 0.625 0.250

=====

# 17
VASP calculation (PBE-GGA) on an optimized crystal structure of Be2BSe.

Output
Energy relative to the elements, uncorrected ... 1.11 eV/atom
DOS(E_F) ... 0.313 states/eV per atom
Total magnetic moment ... 0.000 μB/f.u.

Unit cell a=3.998 b=3.998 c=3.998 alpha=60.00 beta=60.00 gamma=60.00
Fractional positions:
Be1 0.250 0.250 0.250
Be2 0.750 0.750 0.750
B1 0.000 0.000 0.000
Se1 0.500 0.500 0.500

=====

# 18
VASP calculation (PBE-GGA) on an optimized crystal structure of TcSN2O.

Output
Energy relative to the elements, uncorrected ... 1.07 eV/atom
DOS(E_F) ... 0.767 states/eV per atom
Total magnetic moment ... 0.544 μB/f.u.

Unit cell a=3.722 b=3.722 c=4.984 alpha=90.00 beta=90.00 gamma=90.00
Fractional positions:
N1 0.500 0.000 0.000
N2 0.000 0.500 0.000
S1 0.000 0.000 0.500
O1 0.500 0.500 0.500
Tc1 0.000 0.000 0.000

=====

# 19
VASP calculation (PBE-GGA) on an optimized crystal structure of Tm3GaSe.

Output
Energy relative to the elements, uncorrected ... -0.72 eV/atom
DOS(E_F) ... 0.863 states/eV per atom
Total magnetic moment ... 0.000 μB/f.u.

Unit cell a=6.268 b=10.118 c=9.061 alpha=117.83 beta=90.00 gamma=90.00
Fractional positions:
Se1 0.760 0.093 0.023
Se2 0.740 0.593 0.523
Tm1 0.909 0.299 0.926
Ga1 0.345 0.400 0.951
Tm2 0.581 0.945 0.183
Tm3 0.432 0.642 0.761
Tm4 0.409 0.201 0.574
Se3 0.260 0.407 0.477
Ga2 0.655 0.600 0.049
Tm5 0.919 0.445 0.683
Ga3 0.155 0.900 0.451
Tm6 0.081 0.555 0.317
Tm7 0.091 0.701 0.074
Tm8 0.568 0.358 0.239
Tm9 0.932 0.858 0.739
Tm10 0.419 0.055 0.817
Tm11 0.068 0.142 0.261
Se4 0.240 0.907 0.977
Ga4 0.845 0.100 0.549
Tm12 0.591 0.799 0.426

=====

# 20
VASP calculation (PBE-GGA) on an optimized crystal structure of Nb2ReRh.

Output
ΔE_f ... 0.405 eV per atom
DOS(E_F) ... 0.902 states/eV per atom
Total magnetic moment ... 0.000 μB/f.u.

Unit cell a=7.168 b=7.168 c=5.763 alpha=51.54 beta=51.54 gamma=90.00
Fractional positions:
Nb1 0.623 0.125 0.250
Rh1 0.250 0.750 0.500
Re1 0.000 0.000 0.000
Nb2 0.127 0.625 0.250
Nb3 0.375 0.377 0.750
Rh2 0.500 0.500 0.000
Nb4 0.875 0.873 0.750
Re2 0.750 0.250 0.500

=====

# 21
VASP calculation (PBE-GGA) on an optimized crystal structure of ZrBe2Ru.

Output
ΔE_f ... 0.179 eV per atom
DOS(E_F) ... 0.788 states/eV per atom
Total magnetic moment ... 0.000 μB/f.u.

Unit cell a=3.933 b=3.933 c=8.506 alpha=76.63 beta=76.63 gamma=90.00
Fractional positions:
Ru1 0.750 0.250 0.500
Be1 0.864 0.125 0.250
Be2 0.886 0.625 0.250
Be3 0.375 0.136 0.750
Be4 0.875 0.114 0.750
Ru2 0.000 0.000 0.000
Zr1 0.500 0.500 0.000
Zr2 0.250 0.750 0.500

=====

# 22
VASP calculation (PBE-GGA) on an optimized crystal structure of ErScSn2.

Output
ΔE_f ... -0.609 eV per atom
DOS(E_F) ... 0.660 states/eV per atom
Total magnetic moment ... 0.000 μB/f.u.

Unit cell a=4.211 b=5.960 c=8.132 alpha=90.00 beta=90.00 gamma=90.00
Fractional positions:
Sc1 0.500 0.379 0.316
Sn1 0.000 0.587 0.545
Er1 0.000 0.122 0.684
Sc2 0.500 0.621 0.816
Sn2 0.000 0.413 0.045
Sn3 0.500 0.915 0.454
Er2 0.000 0.878 0.184
Sn4 0.500 0.085 0.954

=====

# 23
VASP calculation (PBE-GGA) on an optimized crystal structure of Ti2Nb3W.

Output
ΔE_f ... 0.015 eV per atom
DOS(E_F) ... 1.685 states/eV per atom
Total magnetic moment ... 0.000 μB/f.u.

Unit cell a=4.590 b=7.987 c=7.987 alpha=119.55 beta=106.76 gamma=106.76
Fractional positions:
W1 0.750 0.414 0.586
W2 0.250 0.586 0.414
Ti1 0.250 0.245 0.755
Nb1 0.489 0.659 0.820
Nb2 0.011 0.180 0.341
Nb3 0.000 0.500 0.000
Ti2 0.750 0.085 0.915
Nb4 0.989 0.820 0.659
Nb5 0.511 0.341 0.180
Ti3 0.750 0.755 0.245
Nb6 0.500 0.000 0.500
Ti4 0.250 0.915 0.085

=====

Asked for raw total energy across the records above, the calculation gives -17.37, -11.99, -47.94, -52.69, -21.79, -65.93, -72.80, -66.86, -81.77, -14.56, -91.89, -43.75, -20.68, -33.88, -41.67, -35.23, -13.16, -30.75, -94.02, -76.64, -49.12, -42.67, -117.73 eV for the cell shown in order.